Record 1
Below is CsLaCl4 after structural relaxation, with properties calculated at the GGA-PBE level.

Summary:
energy relative to the elements, uncorrected: -2.26 eV per atom
crystal system: tetragonal
spin magnetization: 0.0 μB/f.u.
total DFT energy (no corrections): -26.70 eV/cell
energy above the lowest structure with this stoichiometry: 13 meV per atom

Cell and atoms, written as CIF:
```
data_CsLaCl4
_chemical_formula_sum 'Cs1 La1 Cl4'
_cell_length_a 4.924
_cell_length_b 4.924
_cell_length_c 8.262
_cell_angle_alpha 90.00
_cell_angle_beta 90.00
_cell_angle_gamma 90.00
_symmetry_space_group_name_H-M 'P 4/m m m'
_symmetry_Int_Tables_number 123
_symmetry_space_group_name_Hall '-P 4 2'
loop_
_atom_site_label
_atom_site_fract_x
_atom_site_fract_y
_atom_site_fract_z
Cs1 0.000 0.000 0.000
La1 0.500 0.500 0.500
Cl1 0.000 0.500 0.301
```

=====

Record 2
Below is CsLa2Cl6 after structural relaxation, with properties calculated at the GGA-PBE level.

Summary:
energy relative to the elements, uncorrected: -2.19 eV per atom
crystal system: trigonal
spin magnetization: 1.1 μB/f.u.
total DFT energy (no corrections): -41.49 eV/cell

Cell and atoms, written as CIF:
```
data_CsLa2Cl6
_chemical_formula_sum 'Cs1 La2 Cl6'
_cell_length_a 7.3839
_cell_length_b 7.3839
_cell_length_c 7.8788
_cell_angle_alpha 90.00
_cell_angle_beta 90.00
_cell_angle_gamma 120.00
_symmetry_space_group_name_H-M 'P -3 1 m'
_symmetry_Int_Tables_number 162
_symmetry_space_group_name_Hall '-P 3 2'
loop_
_atom_site_label
_atom_site_fract_x
_atom_site_fract_y
_atom_site_fract_z
Cs1 0.0000 0.0000 0.0000
La1 0.3333 0.6667 0.5000
Cl1 0.0000 0.3650 0.7074
```

=====

Record 3
Below is Cs3LaCl6 after structural relaxation, with properties calculated at the GGA-PBE level.

Summary:
energy relative to the elements, uncorrected: -2.20 eV per atom
crystal system: monoclinic
spin magnetization: 0.0 μB/f.u.
total DFT energy (no corrections): -81.04 eV/cell
energy above the lowest structure with this stoichiometry: 3 meV per atom

Cell and atoms, written as CIF:
```
data_Cs3LaCl6
_chemical_formula_sum 'Cs6 La2 Cl12'
_cell_length_a 8.249
_cell_length_b 8.685
_cell_length_c 14.213
_cell_angle_alpha 90.00
_cell_angle_beta 124.39
_cell_angle_gamma 90.00
_symmetry_space_group_name_H-M 'P 1 21/c 1'
_symmetry_Int_Tables_number 14
loop_
_symmetry_equiv_pos_as_xyz
'x,y,z'
'-x,-y,-z'
'-x,y+1/2,-z+1/2'
'x,-y+1/2,z+1/2'
loop_
_atom_site_label
_atom_site_fract_x
_atom_site_fract_y
_atom_site_fract_z
Cs1 0.000 0.000 0.000
Cs2 0.220 0.063 0.744
La1 0.500 0.000 0.500
Cl1 0.177 0.177 0.449
Cl2 0.259 0.736 0.427
Cl3 0.398 0.055 0.278
```

=====

Record 4
Below is CsLaCl2 after structural relaxation, with properties calculated at the GGA-PBE level.

Summary:
energy relative to the elements, uncorrected: -1.54 eV per atom
crystal system: trigonal
spin magnetization: 0.0 μB/f.u.
total DFT energy (no corrections): -46.90 eV/cell

Cell and atoms, written as CIF:
```
data_CsLaCl2
_chemical_formula_sum 'Cs3 La3 Cl6'
_cell_length_a 4.3928
_cell_length_b 4.3928
_cell_length_c 29.9138
_cell_angle_alpha 90.00
_cell_angle_beta 90.00
_cell_angle_gamma 120.00
_symmetry_space_group_name_H-M 'R -3 m'
_symmetry_Int_Tables_number 166
_symmetry_space_group_name_Hall '-R 3 2"'
loop_
_atom_site_label
_atom_site_fract_x
_atom_site_fract_y
_atom_site_fract_z
Cs1 0.0000 0.0000 0.0000
La1 0.0000 0.0000 0.5000
Cl1 0.0000 0.0000 0.4080
```

=====

Record 5
Below is Cs2LaCl5 after structural relaxation, with properties calculated at the GGA-PBE level.

Summary:
energy relative to the elements, uncorrected: -2.25 eV per atom
crystal system: orthorhombic
spin magnetization: 0.0 μB/f.u.
total DFT energy (no corrections): -135.43 eV/cell

Cell and atoms, written as CIF:
```
data_Cs2LaCl5
_chemical_formula_sum 'Cs8 La4 Cl20'
_cell_length_a 14.138
_cell_length_b 9.280
_cell_length_c 8.713
_cell_angle_alpha 90.00
_cell_angle_beta 90.00
_cell_angle_gamma 90.00
_symmetry_space_group_name_H-M 'P n m a'
_symmetry_Int_Tables_number 62
loop_
_symmetry_equiv_pos_as_xyz
'x,y,z'
'-x,-y,-z'
'-x+1/2,-y,z+1/2'
'x+1/2,y,-z+1/2'
'x+1/2,-y+1/2,-z+1/2'
'-x+1/2,y+1/2,z+1/2'
'-x,y+1/2,-z'
'x,-y+1/2,z'
loop_
_atom_site_label
_atom_site_fract_x
_atom_site_fract_y
_atom_site_fract_z
Cs1 0.171 0.004 0.054
La1 0.004 0.250 0.564
Cl1 0.015 0.250 0.889
Cl2 0.069 0.540 0.655
Cl3 0.170 0.250 0.386
Cl4 0.189 0.750 0.353
```

=====

Record 6
Below is CsLa2Cl7 after structural relaxation, with properties calculated at the GGA-PBE level.

Summary:
energy relative to the elements, uncorrected: -2.34 eV per atom
crystal system: orthorhombic
spin magnetization: 0.0 μB/f.u.
total DFT energy (no corrections): -94.03 eV/cell

Cell and atoms, written as CIF:
```
data_CsLa2Cl7
_chemical_formula_sum 'Cs2 La4 Cl14'
_cell_length_a 8.887
_cell_length_b 14.380
_cell_length_c 5.605
_cell_angle_alpha 90.00
_cell_angle_beta 90.00
_cell_angle_gamma 90.00
_symmetry_space_group_name_H-M 'C m m m'
_symmetry_Int_Tables_number 65
_symmetry_space_group_name_Hall '-C 2 2'
loop_
_atom_site_label
_atom_site_fract_x
_atom_site_fract_y
_atom_site_fract_z
Cs1 0.000 0.000 0.000
La1 0.000 0.303 0.500
Cl1 0.000 0.288 0.000
Cl2 0.000 0.500 0.500
Cl3 0.188 0.140 0.500
```